Entry one
# NiIrCl2, relaxed, DFT PBE
# magnetic moment	1.0	μB per cell
# symmetry	P4/mmm
data_NiIrCl2
_chemical_formula_sum 'Ni1 Ir1 Cl2'
_space_group_name_H-M_alt 'P 1'
_space_group_IT_number 1
_space_group_name_Hall 'P 1'
_cell_length_a 4.4377
_cell_length_b 4.4386
_cell_length_c 3.0520
_cell_angle_alpha 90.00
_cell_angle_beta 90.00
_cell_angle_gamma 89.99
loop_
_atom_site_label
_atom_site_fract_x
_atom_site_fract_y
_atom_site_fract_z
_atom_site_occupancy
Ni1 0.0000 0.5000 0.5000 1
Ir1 0.5000 0.0000 0.5000 1
Cl1 0.0000 0.0000 0.0000 1
Cl2 0.5000 0.5000 0.0000 1



Entry two
# NiIrCl2, relaxed, DFT PBE
# magnetic moment	0.9	μB per cell
# symmetry	Cmm2
data_NiIrCl2
_chemical_formula_sum 'Ni1 Ir1 Cl2'
_space_group_name_H-M_alt 'P 1'
_space_group_IT_number 1
_space_group_name_Hall 'P 1'
_cell_length_a 3.0807
_cell_length_b 3.0807
_cell_length_c 9.4084
_cell_angle_alpha 90.00
_cell_angle_beta 90.00
_cell_angle_gamma 123.86
loop_
_atom_site_label
_atom_site_fract_x
_atom_site_fract_y
_atom_site_fract_z
_atom_site_occupancy
Ni1 0.5000 0.5000 0.7405 1
Ir1 0.0000 0.0000 0.5240 1
Cl1 0.0000 0.0000 0.9192 1
Cl2 0.5000 0.5000 0.3164 1



Entry three
# NiIrCl2, relaxed, DFT PBE
# magnetic moment	1.3	μB per cell
# symmetry	C2/m
data_NiIrCl2
_chemical_formula_sum 'Ni1 Ir1 Cl2'
_space_group_name_H-M_alt 'P 1'
_space_group_IT_number 1
_space_group_name_Hall 'P 1'
_cell_length_a 6.7194
_cell_length_b 6.7194
_cell_length_c 4.5369
_cell_angle_alpha 82.84
_cell_angle_beta 82.84
_cell_angle_gamma 25.18
loop_
_atom_site_label
_atom_site_fract_x
_atom_site_fract_y
_atom_site_fract_z
_atom_site_occupancy
Ni1 0.2500 0.2500 0.2500 1
Ir1 0.7500 0.7500 0.7500 1
Cl1 0.8828 0.8828 0.0275 1
Cl2 0.6172 0.6172 0.4725 1



Verdict on stability: entry one comes out at the bottom.



Entry one
# NiIr2Cl, relaxed, DFT PBE
# magnetic moment	0.8	μB per cell
# symmetry	C2/m
data_NiIr2Cl
_chemical_formula_sum 'Ni1 Ir2 Cl1'
_space_group_name_H-M_alt 'P 1'
_space_group_IT_number 1
_space_group_name_Hall 'P 1'
_cell_length_a 5.2466
_cell_length_b 5.2466
_cell_length_c 2.8170
_cell_angle_alpha 74.37
_cell_angle_beta 74.37
_cell_angle_gamma 117.95
loop_
_atom_site_label
_atom_site_fract_x
_atom_site_fract_y
_atom_site_fract_z
_atom_site_occupancy
Cl1 0.0000 0.5000 0.5000 1
Ir1 0.0000 0.0000 0.0000 1
Ir2 0.5000 0.5000 0.0000 1
Ni1 0.5000 0.0000 0.5000 1



Entry two
# NiIr2Cl, relaxed, DFT PBE
# magnetic moment	0.0	μB per cell
# symmetry	P4mm
data_NiIr2Cl
_chemical_formula_sum 'Ni1 Ir2 Cl1'
_space_group_name_H-M_alt 'P 1'
_space_group_IT_number 1
_space_group_name_Hall 'P 1'
_cell_length_a 2.8136
_cell_length_b 2.8136
_cell_length_c 7.3886
_cell_angle_alpha 90.00
_cell_angle_beta 90.00
_cell_angle_gamma 90.00
loop_
_atom_site_label
_atom_site_fract_x
_atom_site_fract_y
_atom_site_fract_z
_atom_site_occupancy
Cl1 0.5000 0.5000 0.7219 1
Ir1 0.0000 0.0000 0.0229 1
Ir2 0.5000 0.5000 0.2615 1
Ni1 0.0000 0.0000 0.4936 1



Entry three
# NiIr2Cl, relaxed, DFT PBE
# magnetic moment	0.6	μB per cell
# symmetry	I4/mmm
data_NiIr2Cl
_chemical_formula_sum 'Ni1 Ir2 Cl1'
_space_group_name_H-M_alt 'P 1'
_space_group_IT_number 1
_space_group_name_Hall 'P 1'
_cell_length_a 4.4676
_cell_length_b 4.4676
_cell_length_c 4.4676
_cell_angle_alpha 125.95
_cell_angle_beta 125.95
_cell_angle_gamma 79.97
loop_
_atom_site_label
_atom_site_fract_x
_atom_site_fract_y
_atom_site_fract_z
_atom_site_occupancy
Cl1 0.7500 0.2500 0.5000 1
Ir1 0.0000 0.0000 0.0000 1
Ir2 0.5000 0.5000 0.0000 1
Ni1 0.2500 0.7500 0.5000 1



Entry four
# NiIr2Cl, relaxed, DFT PBE
# magnetic moment	0.0	μB per cell
# symmetry	Cm
data_NiIr2Cl
_chemical_formula_sum 'Ni1 Ir2 Cl1'
_space_group_name_H-M_alt 'P 1'
_space_group_IT_number 1
_space_group_name_Hall 'P 1'
_cell_length_a 4.4742
_cell_length_b 4.4742
_cell_length_c 7.5920
_cell_angle_alpha 56.72
_cell_angle_beta 56.72
_cell_angle_gamma 36.37
loop_
_atom_site_label
_atom_site_fract_x
_atom_site_fract_y
_atom_site_fract_z
_atom_site_occupancy
Cl1 0.2323 0.2323 0.2707 1
Ir1 0.9480 0.9480 0.9023 1
Ir2 0.7486 0.7486 0.7616 1
Ni1 0.5711 0.5711 0.5654 1



Verdict on stability: entry three comes out at the bottom.



Entry one
# NiIr2Cl, relaxed, DFT PBE
# magnetic moment	0.0	μB per cell
# symmetry	R-3m
data_NiIr2Cl
_chemical_formula_sum 'Ni1 Ir2 Cl1'
_space_group_name_H-M_alt 'P 1'
_space_group_IT_number 1
_space_group_name_Hall 'P 1'
_cell_length_a 8.3753
_cell_length_b 8.3753
_cell_length_c 8.3753
_cell_angle_alpha 19.49
_cell_angle_beta 19.49
_cell_angle_gamma 19.49
loop_
_atom_site_label
_atom_site_fract_x
_atom_site_fract_y
_atom_site_fract_z
_atom_site_occupancy
Cl1 0.7500 0.7500 0.7500 1
Ir1 0.9951 0.9951 0.9951 1
Ir2 0.5049 0.5049 0.5049 1
Ni1 0.2500 0.2500 0.2500 1



Entry two
# NiIr2Cl, relaxed, DFT PBE
# magnetic moment	1.6	μB per cell
# symmetry	Fm-3m
data_NiIr2Cl
_chemical_formula_sum 'Ni1 Ir2 Cl1'
_space_group_name_H-M_alt 'P 1'
_space_group_IT_number 1
_space_group_name_Hall 'P 1'
_cell_length_a 4.3055
_cell_length_b 4.3055
_cell_length_c 4.3055
_cell_angle_alpha 60.00
_cell_angle_beta 60.00
_cell_angle_gamma 60.00
loop_
_atom_site_label
_atom_site_fract_x
_atom_site_fract_y
_atom_site_fract_z
_atom_site_occupancy
Ni1 0.5000 0.5000 0.5000 1
Ir1 0.2500 0.2500 0.2500 1
Ir2 0.7500 0.7500 0.7500 1
Cl1 0.0000 0.0000 0.0000 1



Verdict on stability: entry two comes out at the bottom.



Entry one
# NiIr2Cl, relaxed, DFT PBE
# magnetic moment	0.0	μB per cell
# symmetry	F-43m
data_NiIr2Cl
_chemical_formula_sum 'Ni1 Ir2 Cl1'
_space_group_name_H-M_alt 'P 1'
_space_group_IT_number 1
_space_group_name_Hall 'P 1'
_cell_length_a 4.3531
_cell_length_b 4.3531
_cell_length_c 4.3531
_cell_angle_alpha 120.02
_cell_angle_beta 120.02
_cell_angle_gamma 89.97
loop_
_atom_site_label
_atom_site_fract_x
_atom_site_fract_y
_atom_site_fract_z
_atom_site_occupancy
Cl1 0.7500 0.2500 0.5000 1
Ir1 0.0000 0.0000 0.0000 1
Ir2 0.2500 0.7500 0.5000 1
Ni1 0.5000 0.5000 0.0000 1



Entry two
# NiIr2Cl, relaxed, DFT PBE
# magnetic moment	0.0	μB per cell
# symmetry	Imm2
data_NiIr2Cl
_chemical_formula_sum 'Ni1 Ir2 Cl1'
_space_group_name_H-M_alt 'P 1'
_space_group_IT_number 1
_space_group_name_Hall 'P 1'
_cell_length_a 5.4462
_cell_length_b 5.4462
_cell_length_c 5.4462
_cell_angle_alpha 150.90
_cell_angle_beta 131.25
_cell_angle_gamma 57.79
loop_
_atom_site_label
_atom_site_fract_x
_atom_site_fract_y
_atom_site_fract_z
_atom_site_occupancy
Cl1 0.7619 0.2619 0.5000 1
Ir1 0.0100 0.0100 0.0000 1
Ir2 0.2447 0.7447 0.5000 1
Ni1 0.4834 0.4834 0.0000 1



Verdict on stability: entry one comes out at the bottom.



Entry one
# NiIr2Cl, relaxed, DFT PBE
# magnetic moment	0.2	μB per cell
# symmetry	Cmm2
data_NiIr2Cl
_chemical_formula_sum 'Ni1 Ir2 Cl1'
_space_group_name_H-M_alt 'P 1'
_space_group_IT_number 1
_space_group_name_Hall 'P 1'
_cell_length_a 2.8129
_cell_length_b 2.8129
_cell_length_c 8.7063
_cell_angle_alpha 90.00
_cell_angle_beta 90.00
_cell_angle_gamma 121.89
loop_
_atom_site_label
_atom_site_fract_x
_atom_site_fract_y
_atom_site_fract_z
_atom_site_occupancy
Cl1 0.5000 0.5000 0.7231 1
Ir1 0.0000 0.0000 0.0048 1
Ir2 0.5000 0.5000 0.2631 1
Ni1 0.0000 0.0000 0.5090 1



Entry two
# NiIr2Cl, relaxed, DFT PBE
# magnetic moment	0.0	μB per cell
# symmetry	Pmm2
data_NiIr2Cl
_chemical_formula_sum 'Ni1 Ir2 Cl1'
_space_group_name_H-M_alt 'P 1'
_space_group_IT_number 1
_space_group_name_Hall 'P 1'
_cell_length_a 2.8085
_cell_length_b 2.8052
_cell_length_c 7.5544
_cell_angle_alpha 90.03
_cell_angle_beta 90.00
_cell_angle_gamma 90.00
loop_
_atom_site_label
_atom_site_fract_x
_atom_site_fract_y
_atom_site_fract_z
_atom_site_occupancy
Cl1 0.5000 0.7493 0.7358 1
Ir1 0.0000 0.7498 0.0218 1
Ir2 0.5000 0.2502 0.2587 1
Ni1 0.0000 0.7507 0.4837 1



Verdict on stability: entry one comes out at the bottom.